## one
Li5Zn3 | Alexandria via LeMat-Bulk | PBEsol | optimized geometry; size of the total moment = 0.00 μB per cell
1.0
-5.063 5.063 2.418
5.063 -5.063 2.418
5.063 5.063 -2.418
Li Zn
10 6
Cartesian
7.829 0.759 0.000
0.759 2.298 0.000
5.063 0.000 1.209
5.822 2.766 0.000
2.766 4.305 0.000
2.298 0.759 2.418
-0.759 2.298 2.418
0.000 5.063 1.209
4.305 2.766 2.418
-2.766 4.305 2.418
3.290 1.773 0.000
0.000 0.000 1.209
3.290 -1.773 2.418
1.773 6.837 0.000
0.000 0.000 3.627
1.773 3.290 2.418

=====

## two
Li5Zn3 | Alexandria via LeMat-Bulk | PBEsol | optimized geometry; size of the total moment = 0.00 μB per cell
1.0
7.745 0.000 0.000
-3.872 6.707 0.000
0.000 0.000 4.877
Li Zn
10 6
Cartesian
-0.930 1.611 1.219
-2.942 5.096 3.658
1.860 0.000 1.219
0.930 1.611 3.658
0.000 4.471 0.000
0.000 4.471 2.438
3.872 2.236 0.000
3.872 2.236 2.438
5.884 0.000 3.658
2.942 5.096 1.219
-1.602 2.775 3.658
-2.270 3.932 1.219
3.204 0.000 3.658
1.602 2.775 1.219
4.540 0.000 1.219
2.270 3.932 3.658

=====

## three
Li5Zn3 | Alexandria via LeMat-Bulk | PBEsol | optimized geometry; size of the total moment = 0.00 μB per cell
1.0
7.821 0.000 0.000
0.000 8.104 0.000
0.000 0.000 3.776
Li Zn
10 6
Cartesian
0.000 0.000 0.000
0.000 2.033 1.888
0.000 6.071 1.888
1.955 2.026 0.000
1.955 6.078 0.000
3.910 2.019 1.888
3.910 4.052 0.000
3.910 6.085 1.888
5.866 2.026 0.000
5.866 6.078 0.000
0.000 4.052 0.000
1.840 4.052 1.888
2.071 0.000 1.888
3.910 0.000 0.000
5.750 0.000 1.888
5.981 4.052 1.888

=====

Least stable structure among those shown: two.